Material: Tl2RuPb
Method: DFT, PBE
State: relaxed

Its energy above the most stable polymorph in this dataset is 34.5 kJ per mole of atoms. As for the volume: 187.9 Å³/cell. The formation energy comes out at 652 meV per atom. As for the crystal system: tetragonal.

Geometry as CIF:
```
data_Tl2RuPb
_chemical_formula_sum 'Tl4 Ru2 Pb2'
_symmetry_space_group_name_H-M 'I 4/m m m'
_symmetry_Int_Tables_number 139
_symmetry_space_group_name_Hall '-I 4 2'
_cell_length_a 4.502
_cell_length_b 4.502
_cell_length_c 9.271
_cell_angle_alpha 90.00
_cell_angle_beta 90.00
_cell_angle_gamma 90.00
loop_
_atom_site_label
_atom_site_fract_x
_atom_site_fract_y
_atom_site_fract_z
Tl1 0.000 0.500 0.250
Ru1 0.000 0.000 0.000
Pb1 0.000 0.000 0.500
```

=====

Material: Mn2AsSe
Method: DFT, PBE
State: relaxed

As for the volume: 144.3 Å³/cell. As for the uncorrected formation energy: 0.147 eV per atom. As for the crystal system: tetragonal.

Geometry as CIF:
```
data_Mn2AsSe
_chemical_formula_sum 'Mn4 As2 Se2'
_symmetry_space_group_name_H-M 'I -4 m 2'
_symmetry_Int_Tables_number 119
_symmetry_space_group_name_Hall 'I -4 -2'
_cell_length_a 3.628
_cell_length_b 3.628
_cell_length_c 10.966
_cell_angle_alpha 90.00
_cell_angle_beta 90.00
_cell_angle_gamma 90.00
loop_
_atom_site_label
_atom_site_fract_x
_atom_site_fract_y
_atom_site_fract_z
Mn1 0.000 0.000 0.000
Mn2 0.000 0.500 0.250
As1 0.000 0.000 0.500
Se1 0.000 0.500 0.750
```

=====

Material: Mg2ZrTl
Method: DFT, PBE
State: relaxed

Its energy above the most stable polymorph in this dataset is 32.6 kJ per mole of atoms. As for the volume: 359.5 Å³/cell. The formation energy comes out at 228 meV per atom. As for the crystal system: cubic.

Geometry as CIF:
```
data_Mg2ZrTl
_chemical_formula_sum 'Mg8 Zr4 Tl4'
_symmetry_space_group_name_H-M 'F m -3 m'
_symmetry_Int_Tables_number 225
_symmetry_space_group_name_Hall '-F 4 2 3'
_cell_length_a 7.111
_cell_length_b 7.111
_cell_length_c 7.111
_cell_angle_alpha 90.00
_cell_angle_beta 90.00
_cell_angle_gamma 90.00
loop_
_atom_site_label
_atom_site_fract_x
_atom_site_fract_y
_atom_site_fract_z
Mg1 0.250 0.250 0.250
Zr1 0.000 0.000 0.000
Tl1 0.000 0.000 0.500
```

=====

Material: NiPbC3
Method: DFT, PBE
State: relaxed

Its energy above the most stable polymorph in this dataset is 142.0 kJ per mole of atoms. As for the volume: 85.3 Å³/cell. The formation energy comes out at 3723 meV per atom. As for the crystal system: cubic.

Geometry as CIF:
```
data_NiPbC3
_chemical_formula_sum 'Ni1 Pb1 C3'
_symmetry_space_group_name_H-M 'P m -3 m'
_symmetry_Int_Tables_number 221
_symmetry_space_group_name_Hall '-P 4 2 3'
_cell_length_a 4.402
_cell_length_b 4.402
_cell_length_c 4.402
_cell_angle_alpha 90.00
_cell_angle_beta 90.00
_cell_angle_gamma 90.00
loop_
_atom_site_label
_atom_site_fract_x
_atom_site_fract_y
_atom_site_fract_z
Ni1 0.000 0.000 0.000
Pb1 0.500 0.500 0.500
C1 0.000 0.500 0.500
```

=====

Material: BaV2Au
Method: DFT, PBE
State: relaxed

Its energy above the most stable polymorph in this dataset is 0.0 kJ per mole of atoms. As for the volume: 419.4 Å³/cell. The formation energy comes out at 670 meV per atom. As for the crystal system: tetragonal.

Geometry as CIF:
```
data_BaV2Au
_chemical_formula_sum 'Ba4 V8 Au4'
_symmetry_space_group_name_H-M 'I 41/a m d'
_symmetry_Int_Tables_number 141
_cell_length_a 4.543
_cell_length_b 4.543
_cell_length_c 20.323
_cell_angle_alpha 90.00
_cell_angle_beta 90.00
_cell_angle_gamma 90.00
loop_
_symmetry_equiv_pos_as_xyz
'x,y,z'
'-x,-y,-z'
'-y+1/4,x+3/4,z+1/4'
'y+1/4,-x+3/4,-z+1/4'
'-x+1/2,-y,z+1/2'
'x+1/2,y,-z+1/2'
'y+1/4,-x+1/4,z+3/4'
'-y+1/4,x+1/4,-z+3/4'
'x,-y,-z'
'-x,y,z'
'-y+1/4,-x+1/4,-z+3/4'
'y+1/4,x+1/4,z+3/4'
'-x+1/2,y,-z+1/2'
'x+1/2,-y,z+1/2'
'y+1/4,x+3/4,-z+1/4'
'-y+1/4,-x+3/4,z+1/4'
'x+1/2,y+1/2,z+1/2'
'-x+1/2,-y+1/2,-z+1/2'
'-y+3/4,x+1/4,z+3/4'
'y+3/4,-x+1/4,-z+3/4'
'-x,-y+1/2,z'
'x,y+1/2,-z'
'y+3/4,-x+3/4,z+1/4'
'-y+3/4,x+3/4,-z+1/4'
'x+1/2,-y+1/2,-z+1/2'
'-x+1/2,y+1/2,z+1/2'
'-y+3/4,-x+3/4,-z+1/4'
'y+3/4,x+3/4,z+1/4'
'-x,y+1/2,-z'
'x,-y+1/2,z'
'y+3/4,x+1/4,-z+3/4'
'-y+3/4,-x+1/4,z+3/4'
loop_
_atom_site_label
_atom_site_fract_x
_atom_site_fract_y
_atom_site_fract_z
Ba1 0.000 0.250 0.375
V1 0.000 0.000 0.000
Au1 0.000 0.250 0.875
```

=====

Material: NbAl4F2
Method: DFT, PBE
State: relaxed

As for the volume: 411.4 Å³/cell. As for the uncorrected formation energy: -0.495 eV per atom. As for the crystal system: tetragonal.

Geometry as CIF:
```
data_NbAl4F2
_chemical_formula_sum 'Nb2 Al8 F4'
_symmetry_space_group_name_H-M 'I 4/m m m'
_symmetry_Int_Tables_number 139
_symmetry_space_group_name_Hall '-I 4 2'
_cell_length_a 5.059
_cell_length_b 5.059
_cell_length_c 16.074
_cell_angle_alpha 90.00
_cell_angle_beta 90.00
_cell_angle_gamma 90.00
loop_
_atom_site_label
_atom_site_fract_x
_atom_site_fract_y
_atom_site_fract_z
Nb1 0.000 0.000 0.000
Al1 0.000 0.000 0.158
Al2 0.000 0.500 0.000
F1 0.000 0.000 0.262
```

=====

Material: AlCu2Mo
Method: DFT, PBE
State: relaxed

As for the volume: 109.7 Å³/cell. The formation energy comes out at 96 meV per atom. As for the crystal system: tetragonal.

Geometry as CIF:
```
data_AlCu2Mo
_chemical_formula_sum 'Al2 Cu4 Mo2'
_symmetry_space_group_name_H-M 'I 4/m m m'
_symmetry_Int_Tables_number 139
_symmetry_space_group_name_Hall '-I 4 2'
_cell_length_a 3.787
_cell_length_b 3.787
_cell_length_c 7.649
_cell_angle_alpha 90.00
_cell_angle_beta 90.00
_cell_angle_gamma 90.00
loop_
_atom_site_label
_atom_site_fract_x
_atom_site_fract_y
_atom_site_fract_z
Al1 0.000 0.000 0.000
Cu1 0.000 0.500 0.250
Mo1 0.000 0.000 0.500
```

=====

Material: CaNbGeS2
Method: DFT, PBE
State: relaxed

As for the volume: 126.4 Å³/cell. As for the uncorrected formation energy: 0.778 eV per atom. As for the crystal system: tetragonal.

Geometry as CIF:
```
data_CaNbGeS2
_chemical_formula_sum 'Ca1 Nb1 Ge1 S2'
_symmetry_space_group_name_H-M 'P 4/m m m'
_symmetry_Int_Tables_number 123
_symmetry_space_group_name_Hall '-P 4 2'
_cell_length_a 4.961
_cell_length_b 4.961
_cell_length_c 5.136
_cell_angle_alpha 90.00
_cell_angle_beta 90.00
_cell_angle_gamma 90.00
loop_
_atom_site_label
_atom_site_fract_x
_atom_site_fract_y
_atom_site_fract_z
Ca1 0.000 0.000 0.000
Nb1 0.500 0.500 0.000
Ge1 0.000 0.000 0.500
S1 0.000 0.500 0.500
```

=====

Repeat the sixth record exactly.
Material: NbAl4F2
Method: DFT, PBE
State: relaxed

As for the volume: 411.4 Å³/cell. As for the uncorrected formation energy: -0.495 eV per atom. As for the crystal system: tetragonal.

Geometry as CIF:
```
data_NbAl4F2
_chemical_formula_sum 'Nb2 Al8 F4'
_symmetry_space_group_name_H-M 'I 4/m m m'
_symmetry_Int_Tables_number 139
_symmetry_space_group_name_Hall '-I 4 2'
_cell_length_a 5.059
_cell_length_b 5.059
_cell_length_c 16.074
_cell_angle_alpha 90.00
_cell_angle_beta 90.00
_cell_angle_gamma 90.00
loop_
_atom_site_label
_atom_site_fract_x
_atom_site_fract_y
_atom_site_fract_z
Nb1 0.000 0.000 0.000
Al1 0.000 0.000 0.158
Al2 0.000 0.500 0.000
F1 0.000 0.000 0.262
```

=====

Please write out number 8 again, unchanged.
Material: CaNbGeS2
Method: DFT, PBE
State: relaxed

As for the volume: 126.4 Å³/cell. As for the uncorrected formation energy: 0.778 eV per atom. As for the crystal system: tetragonal.

Geometry as CIF:
```
data_CaNbGeS2
_chemical_formula_sum 'Ca1 Nb1 Ge1 S2'
_symmetry_space_group_name_H-M 'P 4/m m m'
_symmetry_Int_Tables_number 123
_symmetry_space_group_name_Hall '-P 4 2'
_cell_length_a 4.961
_cell_length_b 4.961
_cell_length_c 5.136
_cell_angle_alpha 90.00
_cell_angle_beta 90.00
_cell_angle_gamma 90.00
loop_
_atom_site_label
_atom_site_fract_x
_atom_site_fract_y
_atom_site_fract_z
Ca1 0.000 0.000 0.000
Nb1 0.500 0.500 0.000
Ge1 0.000 0.000 0.500
S1 0.000 0.500 0.500
```